Entry 1:
An optimized crystal structure of AcLaGeCl, computed with PBE.

Cell and atoms, written as extended XYZ:
```
4
Lattice="-2.681 -4.022 -1.816 5.128 -0.512 0.904 -1.205 -1.818 5.803" Properties=species:S:1:pos:R:3 pbc="T T T"
Ac 0.668 -1.755 2.900
La 1.221 -3.717 -0.911
Ge 1.279 -0.852 -0.001
Cl 0.615 -4.623 1.991
```

Properties
* space group: Amm2
* E: -19.493 eV per formula unit
* spin magnetization: 0.0 Bohr magnetons per cell

Entry 2:
An optimized crystal structure of Y4HCS2, computed with PBE.

Cell and atoms, written as extended XYZ:
```
8
Lattice="3.770 0.000 0.000 0.000 6.418 0.177 0.000 -2.175 6.197" Properties=species:S:1:pos:R:3 pbc="T T T"
Y 1.885 1.024 1.360
Y 1.885 3.219 5.015
Y 0.000 -0.155 4.767
Y 0.000 4.398 1.608
H 1.885 3.209 0.089
C 0.000 0.000 0.000
S 1.885 -1.088 3.099
S 0.000 2.122 3.187
```

Properties
* space group: P2/m
* E: -56.561 eV per formula unit
* spin magnetization: 0.0 Bohr magnetons per cell

> The lowest E belongs to which entry?

Y4HCS2

Repeat the second record exactly.
An optimized crystal structure of Y4HCS2, computed with PBE.

Cell and atoms, written as extended XYZ:
```
8
Lattice="3.770 0.000 0.000 0.000 6.418 0.177 0.000 -2.175 6.197" Properties=species:S:1:pos:R:3 pbc="T T T"
Y 1.885 1.024 1.360
Y 1.885 3.219 5.015
Y 0.000 -0.155 4.767
Y 0.000 4.398 1.608
H 1.885 3.209 0.089
C 0.000 0.000 0.000
S 1.885 -1.088 3.099
S 0.000 2.122 3.187
```

Properties
* space group: P2/m
* E: -56.561 eV per formula unit
* spin magnetization: 0.0 Bohr magnetons per cell

> Among the records above, which one has the highest E?

AcLaGeCl

> Among the records above, which one has the lowest E?

Y4HCS2